Version i
The following is a DFT calculation (PBE) of a geometry-optimized EuMnRh2 structure.

Properties
The value obtained for the total magnetization is 11.06 μB per formula unit. Its symmetry is P4/mmm. Its density of states at the Fermi level is 7.50 states/eV/f.u. As for the density: 9.75 g/cm3.

Cell: 3.197 3.197 6.879 Å, 90.00 90.00 90.00°
Each line ends with the local moment (μB).
Fractional coordinates of all 4 atoms:
Rh: 0.000 0.000 0.795  0.15
Rh: 0.000 0.000 0.205  0.15
Eu: 0.500 0.500 0.500  6.74
Mn: 0.500 0.500 0.000  3.62

=====

Version ii
The following is a DFT calculation (PBE) of a geometry-optimized EuMnRh2 structure.

Properties
The value obtained for the total magnetization is 2.04 μB per formula unit. Its symmetry is Fm-3m. Its density of states at the Fermi level is 8.69 states/eV/f.u. As for the density: 9.77 g/cm3.

Cell: 4.628 4.628 4.630 Å, 60.01 60.01 60.00°
Each line ends with the local moment (μB).
Fractional coordinates of all 4 atoms:
Rh: 0.250 0.250 0.250  0.40
Rh: 0.750 0.750 0.750  0.40
Mn: 0.500 0.500 0.500  3.83
Eu: 0.000 0.000 0.000  -6.63

=====

Relative energies, kJ/mol of atoms: version i 0.0; version ii 3.0.

=====

Version i
The following is a DFT calculation (PBE) of a geometry-optimized Nd2EuN structure.

Properties
The value obtained for the total magnetization is 7.90 μB per formula unit. Its symmetry is R-3m. Its density of states at the Fermi level is 2.83 states/eV/f.u. As for the density: 6.66 g/cm3.

Cell: 3.676 3.676 9.914 Å, 79.32 79.32 60.00°
Each line ends with the local moment (μB).
Fractional coordinates of all 4 atoms:
N: 0.000 0.000 0.000  0.01
Eu: 0.500 0.500 0.500  7.03
Nd: 0.286 0.286 0.143  0.06
Nd: 0.714 0.714 0.857  0.06

=====

Version ii
The following is a DFT calculation (PBE) of a geometry-optimized Nd2EuN structure.

Properties
The value obtained for the total magnetization is 7.15 μB per formula unit. Its symmetry is P4/mmm. Its density of states at the Fermi level is 3.80 states/eV/f.u. As for the density: 7.31 g/cm3.

Cell: 3.269 3.269 9.661 Å, 90.00 90.00 90.00°
Each line ends with the local moment (μB).
Fractional coordinates of all 4 atoms:
N: 0.500 0.500 0.000  -0.01
Eu: 0.500 0.500 0.500  -6.95
Nd: 0.000 0.000 0.847  0.05
Nd: 0.000 0.000 0.153  0.05

=====

Relative energies, kJ/mol of atoms: version i 0.0; version ii 49.5.

=====

Version i
The following is a DFT calculation (PBE) of a geometry-optimized PrEuN structure.

Properties
The value obtained for the total magnetization is 7.22 μB per formula unit. Its symmetry is I4mm. Its density of states at the Fermi level is 1.61 states/eV/f.u. As for the density: 7.33 g/cm3.

Cell: 3.280 3.280 6.866 Å, 103.82 103.82 90.00°
Each line ends with the local moment (μB).
Fractional coordinates of all 3 atoms:
Eu: 0.953 0.953 0.907  6.95
Pr: 0.728 0.728 0.457  0.01
N: 0.318 0.318 0.636  -0.04

=====

Version ii
The following is a DFT calculation (PBE) of a geometry-optimized PrEuN structure.

Properties
The value obtained for the total magnetization is 7.37 μB per formula unit. Its symmetry is F-43m. Its density of states at the Fermi level is 2.63 states/eV/f.u. As for the density: 8.20 g/cm3.

Cell: 4.446 4.446 4.446 Å, 60.00 60.00 60.00°
Each line ends with the local moment (μB).
Fractional coordinates of all 3 atoms:
Pr: 0.500 0.500 0.500  0.24
N: 0.250 0.250 0.250  -0.07
Eu: 0.000 0.000 0.000  6.89

=====

Relative energies, kJ/mol of atoms: version i 0.0; version ii 6.3.

=====

Version i
The following is a DFT calculation (PBE) of a geometry-optimized EuRuN structure.

Properties
The value obtained for the total magnetization is 6.82 μB per formula unit. Its symmetry is P3m1. Its density of states at the Fermi level is 5.23 states/eV/f.u. As for the density: 9.11 g/cm3.

Cell: 3.344 3.344 5.027 Å, 90.00 90.00 120.00°
Each line ends with the local moment (μB).
Fractional coordinates of all 3 atoms:
N: 0.667 0.333 0.401  -0.05
Ru: 0.333 0.667 0.530  -0.17
Eu: 0.000 0.000 0.069  6.79

=====

Version ii
The following is a DFT calculation (PBE) of a geometry-optimized EuRuN structure.

Properties
The value obtained for the total magnetization is 7.19 μB per formula unit. Its symmetry is I4mm. Its density of states at the Fermi level is 2.51 states/eV/f.u. As for the density: 10.04 g/cm3.

Cell: 2.897 2.897 5.647 Å, 104.87 104.87 90.00°
Each line ends with the local moment (μB).
Fractional coordinates of all 3 atoms:
N: 0.706 0.706 0.413  -0.01
Eu: 0.012 0.012 0.023  7.03
Ru: 0.282 0.282 0.564  -0.04

=====

Relative energies, kJ/mol of atoms: version i 0.0; version ii 48.6.

=====

Version i
The following is a DFT calculation (PBE) of a geometry-optimized EuThN structure.

Properties
The value obtained for the total magnetization is 7.01 μB per formula unit. Its symmetry is P3m1. Its density of states at the Fermi level is 3.06 states/eV/f.u. As for the density: 9.08 g/cm3.

Cell: 3.598 3.598 6.492 Å, 90.00 90.00 120.00°
Each line ends with the local moment (μB).
Fractional coordinates of all 3 atoms:
Eu: 0.000 0.000 0.893  6.86
Th: 0.667 0.333 0.451  -0.09
N: 0.333 0.667 0.656  -0.06

=====

Version ii
The following is a DFT calculation (PBE) of a geometry-optimized EuThN structure.

Properties
The value obtained for the total magnetization is 7.45 μB per formula unit. Its symmetry is I4mm. Its density of states at the Fermi level is 2.42 states/eV/f.u. As for the density: 8.23 g/cm3.

Cell: 3.400 3.400 7.353 Å, 103.37 103.37 90.00°
Each line ends with the local moment (μB).
Fractional coordinates of all 3 atoms:
N: 0.786 0.786 0.572  0.00
Th: 0.247 0.247 0.495  0.01
Eu: 0.967 0.967 0.933  6.98

=====

Relative energies, kJ/mol of atoms: version i 0.0; version ii 8.4.

=====

Version i
The following is a DFT calculation (PBE) of a geometry-optimized Eu2TlN structure.

Properties
The value obtained for the total magnetization is 13.61 μB per formula unit. Its symmetry is P4/mmm. Its density of states at the Fermi level is 3.35 states/eV/f.u. As for the density: 9.75 g/cm3.

Cell: 3.238 3.238 8.485 Å, 90.00 90.00 90.00°
Each line ends with the local moment (μB).
Fractional coordinates of all 4 atoms:
Tl: 0.500 0.500 0.500  -0.03
Eu: 0.000 0.000 0.834  6.79
Eu: 0.000 0.000 0.166  6.79
N: 0.500 0.500 0.000  -0.18

=====

Version ii
The following is a DFT calculation (PBE) of a geometry-optimized Eu2TlN structure.

Properties
The value obtained for the total magnetization is 14.12 μB per formula unit. Its symmetry is R-3m. Its density of states at the Fermi level is 7.48 states/eV/f.u. As for the density: 8.75 g/cm3.

Cell: 3.645 3.645 8.868 Å, 78.14 78.14 60.00°
Each line ends with the local moment (μB).
Fractional coordinates of all 4 atoms:
Eu: 0.280 0.280 0.161  6.80
Eu: 0.720 0.720 0.839  6.80
N: 0.000 0.000 0.000  -0.17
Tl: 0.500 0.500 0.500  0.04

=====

Relative energies, kJ/mol of atoms: version i 26.6; version ii 0.0.